Run A
CdCo2Ag2 | PBE | optimized geometry

* size of the total moment: 6.97 Bohr magnetons per cell
* mass density: 9044 kg/m³
* DOS(E_F): 9.11 states/eV per cell

Cell lengths 7.5943, 7.5943, 2.8397 Å; angles 90.00, 90.00, 90.00 degrees
Space group P4/mbm (No. 127)
Symmetry-distinct sites (fractional):
Cd 0.0000 0.0000 0.0000 x2
Co 0.1038 0.3962 0.0000 x4
Ag 0.1882 0.6882 0.5000 x4

---

Run B
CdCo2Ag2 | PBE | optimized geometry

* size of the total moment: 6.73 Bohr magnetons per cell
* mass density: 8581 kg/m³
* DOS(E_F): 8.26 states/eV per cell

Cell lengths 3.8663, 3.8663, 11.5474 Å; angles 90.00, 90.00, 90.00 degrees
Space group I4/mmm (No. 139)
Symmetry-distinct sites (fractional):
Cd 0.0000 0.0000 0.0000 x2
Co 0.0000 0.0000 0.4075 x4
Ag 0.0000 0.5000 0.2500 x4

---

Energy above the most stable structure, in meV per atom: run A 0; run B 119